(1)
Entry from the Open Quantum Materials Database: an optimized crystal structure of GaFeHgMo (GGA-PBE).

abc: 4.505 4.505 4.505
angles: 60.00 60.00 60.00
Element x y z (fractional)
1 Mo 0.500 0.500 0.500
2 Hg 0.250 0.250 0.250
3 Fe 0.750 0.750 0.750
4 Ga 0.000 0.000 0.000

## Properties
relative energy among the computed polymorphs	0.099	eV per atom
theoretical density	10.84	g cm⁻³

---

(2)
Entry from the Open Quantum Materials Database: an optimized crystal structure of GaFeNiHg (GGA-PBE).

abc: 4.353 4.353 4.353
angles: 60.00 60.00 60.00
Element x y z (fractional)
1 Fe 0.750 0.750 0.750
2 Ga 0.000 0.000 0.000
3 Ni 0.250 0.250 0.250
4 Hg 0.500 0.500 0.500

## Properties
relative energy among the computed polymorphs	0.000	eV per atom
theoretical density	10.96	g cm⁻³